[1]
The following is a DFT calculation (PBE) of crystalline AgP4Au at its relaxed geometry.

extended XYZ file:
```
6
Lattice="0.0000 3.9579 3.9579 3.9579 0.0000 3.9579 3.9579 3.9579 0.0000" Properties=species:S:1:pos:R:3 pbc="T T T"
Au 0.0000 0.0000 0.0000
P 5.1498 2.7660 5.1498
P 2.7660 5.1498 5.1498
P 2.7660 2.7660 2.7660
P 5.1498 5.1498 2.7660
Ag 5.9368 5.9368 5.9368
```

Spin magnetization (μB/f.u.): 0.000
Space-group type: F-43m, No. 216
DFT formation energy (eV/atom): 0.520

***

[2]
The following is a DFT calculation (PBE) of crystalline AgP2Au at its relaxed geometry.

extended XYZ file:
```
4
Lattice="0.0000 3.2416 3.2416 3.2416 0.0000 3.2416 3.2416 3.2416 0.0000" Properties=species:S:1:pos:R:3 pbc="T T T"
Ag 0.0000 0.0000 0.0000
P 1.6208 1.6208 1.6208
P 4.8624 4.8624 4.8624
Au 3.2416 3.2416 3.2416
```

Spin magnetization (μB/f.u.): 0.000
Space-group type: Fm-3m, No. 225
DFT formation energy (eV/atom): 0.537

***

[3]
The following is a DFT calculation (PBE) of crystalline AgP2Au at its relaxed geometry.

extended XYZ file:
```
4
Lattice="4.9875 0.0000 0.0000 0.0000 2.7461 0.0044 0.0000 -0.0094 5.0407" Properties=species:S:1:pos:R:3 pbc="T T T"
Au 2.4937 2.7374 3.1550
Ag 0.0000 1.3633 3.1526
P 0.0000 0.0034 0.6299
P 2.4937 0.0010 0.6302
```

Spin magnetization (μB/f.u.): 0.000
Space-group type: Pmm2, No. 25
DFT formation energy (eV/atom): 0.281